# 1
Compound: ReMo3Pt
Source: Alexandria via LeMat-Bulk
Functional: SCAN
Structure: PBEsol geometry

Output
Its density of states at the Fermi level is 1.17 states/eV/atom. For the size of the total moment, the calculation gives 1.017 μB/f.u. As for the space-group type: Pm-3m, No. 221.

```
ReMo3Pt
1.0
4.618 0.000 0.000
0.000 4.618 0.000
0.000 0.000 4.618
Re Mo Pt
1 3 1
direct
0.500 0.500 0.500
0.000 0.500 0.000
0.000 0.000 0.500
0.500 0.000 0.000
0.000 0.000 0.000
```

# 2
Compound: Re2MoPt
Source: Alexandria via LeMat-Bulk
Functional: SCAN
Structure: PBEsol geometry

Output
Its density of states at the Fermi level is 0.64 states/eV/atom. For the size of the total moment, the calculation gives 0.000 μB/f.u. As for the space-group type: P4/mmm, No. 123.

```
Re2MoPt
1.0
-0.214 -3.642 -1.326
3.543 -0.721 1.410
-1.574 -1.136 3.375
Re Mo Pt
2 1 1
direct
0.000 0.500 0.000
0.500 0.000 0.000
0.500 0.500 0.500
0.000 0.000 0.500
```

# 3
Compound: MoPt2Rh
Source: Alexandria via LeMat-Bulk
Functional: SCAN
Structure: PBEsol geometry

Output
Its density of states at the Fermi level is 0.89 states/eV/atom. For the size of the total moment, the calculation gives 0.001 μB/f.u. As for the space-group type: Cm, No. 8.

```
MoPt2Rh
1.0
2.716 0.000 0.000
0.000 4.748 -0.005
-1.358 -0.776 4.507
Mo Rh Pt
1 1 2
direct
0.752 0.254 0.504
0.497 0.494 0.994
0.003 0.005 0.006
0.248 0.747 0.497
```

# 4
Compound: Mo2PtRh
Source: Alexandria via LeMat-Bulk
Functional: SCAN
Structure: PBEsol geometry

Output
Its density of states at the Fermi level is 0.66 states/eV/atom. For the size of the total moment, the calculation gives 0.000 μB/f.u. As for the space-group type: Pmm2, No. 25.

```
Mo2PtRh
1.0
2.709 0.000 0.000
0.000 3.878 0.000
0.000 0.000 5.606
Mo Pt Rh
2 1 1
direct
0.000 0.000 0.978
0.500 0.500 0.259
0.000 0.000 0.498
0.500 0.500 0.765
```

# 5
Compound: Mo2PtRh
Source: Alexandria via LeMat-Bulk
Functional: SCAN
Structure: PBEsol geometry

Output
Its density of states at the Fermi level is 0.52 states/eV/atom. For the size of the total moment, the calculation gives 0.000 μB/f.u. As for the space-group type: P4/mmm, No. 123.

```
Mo2PtRh
1.0
-2.849 -2.041 1.512
2.083 -0.577 3.146
-1.518 3.314 1.613
Mo Rh Pt
2 1 1
direct
0.000 0.500 0.000
0.500 0.000 0.000
0.000 0.000 0.500
0.500 0.500 0.500
```

# 6
Compound: MoPt2Rh
Source: Alexandria via LeMat-Bulk
Functional: SCAN
Structure: PBEsol geometry

Output
Its density of states at the Fermi level is 0.98 states/eV/atom. For the size of the total moment, the calculation gives 0.509 μB/f.u. As for the space-group type: P4/mmm, No. 123.

```
MoPt2Rh
1.0
-1.448 1.598 1.649
-2.295 -1.058 -0.990
0.172 -5.585 5.566
Mo Rh Pt
1 1 2
direct
0.500 0.500 0.500
0.500 0.500 0.000
0.000 0.000 0.747
0.000 0.000 0.253
```

# 7
Compound: Mo2PtRh
Source: Alexandria via LeMat-Bulk
Functional: SCAN
Structure: PBEsol geometry

Output
Its density of states at the Fermi level is 0.56 states/eV/atom. For the size of the total moment, the calculation gives 0.000 μB/f.u. As for the space-group type: Pmmm, No. 47.

```
Mo2PtRh
1.0
-0.230 -2.678 -0.243
3.943 -0.377 0.430
-0.625 -0.432 5.350
Mo Rh Pt
2 1 1
direct
0.000 0.000 0.742
0.000 0.000 0.258
0.500 0.500 0.500
0.500 0.500 0.000
```

# 8
Compound: MoPtRh
Source: Alexandria via LeMat-Bulk
Functional: SCAN
Structure: PBEsol geometry

Output
Its density of states at the Fermi level is 0.62 states/eV/atom. For the size of the total moment, the calculation gives 0.000 μB/f.u. As for the space-group type: Imm2, No. 44.

```
MoPtRh
1.0
2.717 0.000 0.000
0.000 3.859 0.000
-1.358 -1.929 4.118
Mo Rh Pt
1 1 1
direct
0.997 0.997 0.994
0.337 0.337 0.675
0.666 0.666 0.331
```

no.,E_tot (eV per atom),E_form (eV/atom)
1,-46.994,2.195
2,-62.002,-0.184
3,-52.512,-0.251
4,-43.610,-0.177
5,-43.761,-0.328
6,-52.505,-0.245
7,-43.747,-0.313
8,-46.648,-0.364